VASP calculation (PBE) on a relaxed structure of CsLuSeO.

Cell lengths 8.503, 7.289, 6.635 Å; angles 90.00, 101.01, 90.00 degrees
Space group P2_1/c (No. 14)
One atom of each set of equivalent atoms:
Cs1 0.094 0.212 0.471 (multiplicity 4)
Lu1 0.483 0.628 0.785 (multiplicity 4)
Se1 0.270 0.600 0.374 (multiplicity 4)
O1 0.419 0.146 0.384 (multiplicity 4)

Computed properties:
Magnetization: 0.00 μB per formula unit
Total DFT energy (no corrections): -5.65 eV per atom
Polymorph energy (0 for the lowest one): 0.000 eV/f.u.

---

VASP calculation (PBE) on a relaxed structure of CsLuTeO.

Cell lengths 4.752, 9.006, 7.126 Å; angles 90.00, 90.00, 90.00 degrees
Space group Pmc2_1 (No. 26)
One atom of each set of equivalent atoms:
Cs1 0.000 0.209 0.000 (multiplicity 2)
Lu1 0.500 0.402 0.426 (multiplicity 2)
Te1 0.000 0.217 0.501 (multiplicity 2)
O1 0.500 0.443 0.139 (multiplicity 2)

Computed properties:
Magnetization: 0.00 μB per formula unit
Total DFT energy (no corrections): -5.35 eV per atom
Polymorph energy (0 for the lowest one): 0.685 eV/f.u.

---

VASP calculation (PBE) on a relaxed structure of CsLuTeO.

Cell lengths 9.941, 7.268, 6.620 Å; angles 90.00, 101.05, 90.00 degrees
Space group P2_1/c (No. 14)
One atom of each set of equivalent atoms:
Cs1 0.135 0.078 0.321 (multiplicity 4)
Lu1 0.495 0.636 0.797 (multiplicity 4)
Te1 0.273 0.579 0.367 (multiplicity 4)
O1 0.437 0.141 0.380 (multiplicity 4)

Computed properties:
Magnetization: 0.00 μB per formula unit
Total DFT energy (no corrections): -5.52 eV per atom
Polymorph energy (0 for the lowest one): 0.000 eV/f.u.

---

- Number 3 is which compound?
  CsLuTeO